Te2OsAu: optimized geometry, PBE-GGA.

Cell and atoms, written as extended XYZ:
```
4
Lattice="4.2814 0.0000 0.0000 0.0000 4.1971 0.0000 -0.0459 0.0000 6.1082" Properties=species:S:1:pos:R:3 pbc="T T T"
Te 0.0000 0.0000 0.0000
Te 2.0611 2.0986 3.1757
Os 4.2063 2.0986 4.6556
Au 4.1477 0.0000 2.7390
```

Values from the calculation:
Raw formation energy   0.3282 eV/atom
Mass density   9.718 g/cm3
Space-group type   Pm, No. 6
Polymorph energy (0 for the lowest one)   0.151 eV per atom

PmPrAuSe: optimized geometry, PBE-GGA.

Cell and atoms, written as extended XYZ:
```
4
Lattice="4.2660 0.0000 0.0000 0.0000 4.2660 0.0000 0.0000 0.0000 6.1705" Properties=species:S:1:pos:R:3 pbc="T T T"
Pm 0.0000 0.0000 0.0000
Pr 2.1330 2.1330 3.0852
Au 0.0000 0.0000 3.0852
Se 2.1330 2.1330 0.0000
```

Values from the calculation:
Raw formation energy   -1.2430 eV/atom
Mass density   8.308 g/cm3
Space-group type   P4/mmm, No. 123

ThBeRe: optimized geometry, PBE-GGA.

Cell and atoms, written as extended XYZ:
```
6
Lattice="2.1435 -7.5040 0.0000 2.1435 7.5040 0.0000 0.0000 0.0000 3.4083" Properties=species:S:1:pos:R:3 pbc="T T T"
Th 2.1435 5.9155 2.5563
Th 2.1435 -5.9155 0.8521
Be 2.1435 0.7210 2.5563
Be 2.1435 -0.7210 0.8521
Re 2.1435 3.2355 2.5563
Re 2.1435 -3.2355 0.8521
```

Values from the calculation:
Mass density   12.942 g/cm3
Space-group type   Cmcm, No. 63
DFT formation energy   314 meV/atom

CaRh: optimized geometry, PBE-GGA.

Cell and atoms, written as extended XYZ:
```
6
Lattice="5.2708 -1.5493 0.0000 5.2708 1.5493 0.0000 -2.5632 0.0000 7.5624" Properties=species:S:1:pos:R:3 pbc="T T T"
Ca 0.0000 0.0000 0.0000
Ca -1.4342 0.0000 4.5732
Ca 6.4551 0.0000 2.8443
Rh 1.2138 0.0000 5.4379
Rh 3.4446 0.0000 1.7958
Rh 5.2105 0.0000 7.3338
```

Values from the calculation:
Mass density   5.767 g/cm3
Space-group type   Cm, No. 8
DFT formation energy   -176 meV/atom